! LiBeFe3 (GGA-PBE, optimized geometry); values from VASP
! - space group = Pm-3m (221)
&SYSTEM
  ibrav = 0, nat = 5, ntyp = 3
/
ATOMIC_SPECIES
Li 6.94 Li.upf
Be 9.01 Be.upf
Fe 55.84 Fe.upf
ATOMIC_POSITIONS crystal
Li 0.000 0.000 0.000
Be 0.500 0.500 0.500
Fe 0.000 0.500 0.500
Fe 0.500 0.000 0.500
Fe 0.500 0.500 0.000
CELL_PARAMETERS angstrom
3.993 0.000 0.000
0.000 3.993 0.000
0.000 0.000 3.993


! La2FeAg (GGA-PBE, optimized geometry); values from VASP
! - space group = P2/m (10)
&SYSTEM
  ibrav = 0, nat = 4, ntyp = 3
/
ATOMIC_SPECIES
La 138.91 La.upf
Fe 55.84 Fe.upf
Ag 107.87 Ag.upf
ATOMIC_POSITIONS crystal
La 0.039 0.000 0.281
La 0.961 0.000 0.719
Fe 0.500 0.500 0.500
Ag 0.500 0.500 0.000
CELL_PARAMETERS angstrom
3.587 0.000 0.000
0.000 3.553 0.000
-0.534 0.000 7.800


! NaSnAu4 (GGA-PBE, optimized geometry); values from VASP
! - space group = F-43m (216)
&SYSTEM
  ibrav = 0, nat = 6, ntyp = 3
/
ATOMIC_SPECIES
Na 22.99 Na.upf
Sn 118.71 Sn.upf
Au 196.97 Au.upf
ATOMIC_POSITIONS crystal
Na 0.000 0.000 0.000
Sn 0.750 0.750 0.750
Au 0.375 0.375 0.375
Au 0.375 0.375 0.876
Au 0.375 0.876 0.375
Au 0.876 0.375 0.375
CELL_PARAMETERS angstrom
0.000 3.981 3.981
3.981 0.000 3.981
3.981 3.981 0.000


! Sm2PbSe4 (GGA-PBE, optimized geometry); values from VASP
! - space group = Cmcm (63)
! - energy relative to the elements, uncorrected (eV per atom) = -1.475
&SYSTEM
  ibrav = 0, nat = 14, ntyp = 3
/
ATOMIC_SPECIES
Sm 150.36 Sm.upf
Pb 207.20 Pb.upf
Se 78.96 Se.upf
ATOMIC_POSITIONS crystal
Sm 0.136 0.864 0.568
Sm 0.136 0.864 0.932
Sm 0.864 0.136 0.068
Sm 0.864 0.136 0.432
Pb 0.393 0.607 0.750
Pb 0.607 0.393 0.250
Se 0.043 0.957 0.750
Se 0.229 0.771 0.116
Se 0.229 0.771 0.384
Se 0.500 0.500 0.000
Se 0.500 0.500 0.500
Se 0.771 0.229 0.616
Se 0.771 0.229 0.884
Se 0.957 0.043 0.250
CELL_PARAMETERS angstrom
2.095 -6.907 0.000
2.095 6.907 0.000
0.000 0.000 14.400


! PrTaN2 (GGA-PBE, optimized geometry); values from VASP
! - space group = I-4m2 (119)
! - energy relative to the elements, uncorrected (eV per atom) = -0.855
&SYSTEM
  ibrav = 0, nat = 4, ntyp = 3
/
ATOMIC_SPECIES
Pr 140.91 Pr.upf
Ta 180.95 Ta.upf
N 14.01 N.upf
ATOMIC_POSITIONS crystal
Pr 0.000 0.000 0.000
Ta 0.250 0.750 0.500
N 0.361 0.361 0.000
N 0.639 0.639 0.000
CELL_PARAMETERS angstrom
-1.608 1.608 5.708
1.608 -1.608 5.708
1.608 1.608 -5.708


! LaErCoIr (GGA-PBE, optimized geometry); values from VASP
! - space group = F-43m (216)
&SYSTEM
  ibrav = 0, nat = 4, ntyp = 4
/
ATOMIC_SPECIES
La 138.91 La.upf
Er 167.26 Er.upf
Co 58.93 Co.upf
Ir 192.22 Ir.upf
ATOMIC_POSITIONS crystal
La 0.000 0.000 0.000
Er 0.500 0.500 0.500
Co 0.750 0.750 0.750
Ir 0.250 0.250 0.250
CELL_PARAMETERS angstrom
0.000 3.466 3.466
3.466 0.000 3.466
3.466 3.466 0.000


! AcCeSbAs (GGA-PBE, optimized geometry); values from VASP
! - space group = R3m (160)
! - energy relative to the elements, uncorrected (eV per atom) = -1.136
&SYSTEM
  ibrav = 0, nat = 4, ntyp = 4
/
ATOMIC_SPECIES
Ac 227.00 Ac.upf
Ce 140.12 Ce.upf
Sb 121.76 Sb.upf
As 74.92 As.upf
ATOMIC_POSITIONS crystal
Ac 0.000 0.000 0.000
Ce 0.819 0.819 0.819
Sb 0.571 0.571 0.571
As 0.413 0.413 0.413
CELL_PARAMETERS angstrom
2.217 1.280 7.804
-2.217 1.280 7.804
0.000 -2.559 7.804


We obtain raw total energy values of -5.621 -5.297 -3.246 -5.345 -9.176 -6.755 -5.839 eV per atom for the records listed above, in that order.